A plane-wave DFT calculation with meta-GGA SCAN was carried out for a PBEsol-optimized structure of Sr2CrRu.

extended XYZ file:
```
4
Lattice="-1.4937 -0.5864 4.9166 1.5199 -4.1495 2.6870 3.4406 0.5152 3.8269" Properties=species:S:1:pos:R:3 pbc="T T T"
Cr 1.7334 -2.1104 5.7152
Ru 0.0000 0.0000 0.0000
Sr 0.8667 -1.0552 2.8576
Sr 2.6001 -3.1656 8.5729
```

Calculated values
distance to the lowest polymorph of the same formula: 454 meV/atom
magnetic moment: 1.091 μB per atom
ΔH_f (0 K): 0.630 eV per atom
crystal system: cubic
E: -95.24 eV for the cell shown



A plane-wave DFT calculation with meta-GGA SCAN was carried out for a PBEsol-optimized structure of GeHO2F.

extended XYZ file:
```
5
Lattice="-0.8290 3.3063 1.1742 -2.7977 -1.3511 1.8291 2.2497 -0.5213 3.0560" Properties=species:S:1:pos:R:3 pbc="T T T"
H -0.6885 0.7170 3.0297
Ge 0.0000 0.0000 0.0000
O -1.3988 -0.6755 0.9145
O -0.4145 1.6532 0.5871
F 1.1249 -0.2606 1.5280
```

Calculated values
magnetic moment: 0.001 μB per atom
crystal system: tetragonal
E: -41.72 eV for the cell shown



A plane-wave DFT calculation with meta-GGA SCAN was carried out for a PBEsol-optimized structure of MgIn2Ir.

extended XYZ file:
```
4
Lattice="3.0780 0.0000 0.0000 0.0000 3.0780 0.0000 0.0000 0.0000 8.3960" Properties=species:S:1:pos:R:3 pbc="T T T"
In 0.0000 0.0000 8.3344
In 1.5390 1.5390 2.5555
Ir 0.0000 0.0000 4.2560
Mg 1.5390 1.5390 5.8440
```

Calculated values
magnetic moment: 0.000 μB per atom
ΔH_f (0 K): -0.169 eV per atom
crystal system: tetragonal
E: -143.52 eV for the cell shown



A plane-wave DFT calculation with meta-GGA SCAN was carried out for a PBEsol-optimized structure of TlBiPO2.

extended XYZ file:
```
5
Lattice="-2.7651 0.7991 -3.0786 0.6995 -3.8267 -1.6215 -3.7318 -1.8941 2.8602" Properties=species:S:1:pos:R:3 pbc="T T T"
P -1.8659 -0.9471 1.4301
Tl 0.0000 0.0000 0.0000
Bi -2.8988 -2.4609 -0.9200
O 0.3497 -1.9134 -0.8108
O -1.3826 0.3996 -1.5393
```

Calculated values
formation energy from raw total energies: 0.2751 eV per atom
magnetic moment: 0.000 μB per atom
crystal system: tetragonal
E: -172.42 eV for the cell shown



A plane-wave DFT calculation with meta-GGA SCAN was carried out for a PBEsol-optimized structure of TcHgOs2.

extended XYZ file:
```
4
Lattice="-2.1931 -3.0950 -0.6276 2.9569 -1.7441 -1.7314 0.7955 0.8587 4.7626" Properties=species:S:1:pos:R:3 pbc="T T T"
Hg 2.0672 -1.6525 0.9259
Os 0.0000 0.0000 0.0000
Os -0.5078 -2.3280 1.4778
Tc 0.3819 -2.4196 -1.1795
```

Calculated values
magnetic moment: 0.000 μB per atom
ΔH_f (0 K): 0.791 eV per atom
crystal system: tetragonal
E: -243.82 eV for the cell shown



A plane-wave DFT calculation with meta-GGA SCAN was carried out for a PBEsol-optimized structure of Cs3Ti2Cl9.

extended XYZ file:
```
28
Lattice="7.2209 0.0000 0.0000 -3.6104 6.2534 0.0000 0.0000 0.0000 17.7403" Properties=species:S:1:pos:R:3 pbc="T T T"
Cs 3.6104 2.0845 10.1869
Cs 0.0000 4.1690 1.3167
Cs 0.0000 0.0000 4.4351
Cs 0.0000 4.1690 7.5535
Cs 0.0000 0.0000 13.3053
Cs 3.6104 2.0845 16.4236
Ti 0.0000 4.1690 14.8171
Ti 3.6104 2.0845 5.9469
Ti 0.0000 4.1690 11.7934
Ti 3.6104 2.0845 2.9232
Cl 1.7032 3.1856 13.3053
Cl 1.9073 3.0678 4.4351
Cl 1.7014 5.1512 10.5259
Cl 3.6104 4.0490 1.6557
Cl 0.0000 2.2044 10.5259
Cl 3.6104 0.1178 4.4351
Cl -1.7032 3.1856 13.3053
Cl 0.0000 6.1356 13.3053
Cl 5.3118 1.1022 1.6557
Cl 1.9091 1.1022 1.6557
Cl 1.7014 5.1512 16.0846
Cl -1.7014 5.1512 16.0846
Cl 3.6104 4.0490 7.2144
Cl 0.0000 2.2044 16.0846
Cl 5.3136 3.0678 4.4351
Cl -1.7014 5.1512 10.5259
Cl 1.9091 1.1022 7.2144
Cl 5.3118 1.1022 7.2144
```

Calculated values
formation energy from raw total energies: -2.0722 eV per atom
magnetic moment: 0.143 μB per atom
crystal system: hexagonal
E: -492.61 eV for the cell shown



A plane-wave DFT calculation with meta-GGA SCAN was carried out for a PBEsol-optimized structure of TaMo3.

extended XYZ file:
```
8
Lattice="-0.3496 -2.0576 1.7953 2.6658 0.2413 -0.6437 2.2211 11.3652 13.4585" Properties=species:S:1:pos:R:3 pbc="T T T"
Mo 1.9225 6.2855 10.3848
Mo 3.1584 6.0444 7.5186
Mo 1.3790 3.5044 7.0914
Mo 2.6149 3.2633 4.2253
Mo 2.0469 0.3573 0.7841
Mo 2.4904 9.1915 13.8260
Ta 0.8233 0.6613 3.7247
Ta 3.7140 8.8875 10.8854
```

Calculated values
magnetic moment: 0.000 μB per atom
ΔH_f (0 K): -0.076 eV per atom
crystal system: orthorhombic
E: -343.08 eV for the cell shown



A plane-wave DFT calculation with meta-GGA SCAN was carried out for a PBEsol-optimized structure of LaZnPd3.

extended XYZ file:
```
5
Lattice="-0.5074 -4.2162 -1.8754 3.5886 0.8255 -2.8269 2.9010 -1.7587 3.1690" Properties=species:S:1:pos:R:3 pbc="T T T"
Zn 0.0000 0.0000 0.0000
Pd 1.7943 0.4128 -1.4135
Pd 1.4505 -0.8794 1.5845
Pd -0.2537 -2.1081 -0.9377
La 2.9911 -2.5747 -0.7667
```

Calculated values
magnetic moment: 0.000 μB per atom
ΔH_f (0 K): -0.417 eV per atom
crystal system: cubic
E: -157.03 eV for the cell shown